## LiWF2 (PBE+U)

Data for LiWF2 after structural relaxation.

Results
Magnetic moment = 0.25 μB/atom
Energy above the lowest structure with this stoichiometry = 0.7640 eV/atom

abc: 4.940 4.940 5.545
angles: 63.55 63.55 90.00
Site moments in Bohr magnetons follow the coordinates.
Fractional positions:
Li: 0.500 0.500 0.000  0.00
Li: 0.250 0.750 0.500  0.00
F: 0.875 0.783 0.750  0.01
F: 0.533 0.125 0.250  0.01
F: 0.217 0.625 0.250  0.00
F: 0.375 0.467 0.750  0.00
W: 0.000 0.000 0.000  1.09
W: 0.750 0.250 0.500  1.09